1.
Compound: TiTlTc3
Source: Alexandria via LeMat-Bulk
Functional: SCAN
Structure: single point on PBEsol structure

Calculated values
ΔE_f   1.343 eV/atom
Fermi-level density of states   0.92 states/eV per atom

a = 4.5091 Å, b = 4.5091 Å, c = 4.5091 Å
α = 90.00°, β = 90.00°, γ = 90.00°
Each line ends with the local moment (μB).
Positions (direct):
1 Ti 0.0000 0.0000 0.0000  -0.17
2 Tc 0.0000 0.0000 0.5000  0.96
3 Tc 0.0000 0.5000 0.0000  0.96
4 Tl 0.5000 0.5000 0.5000  -0.06
5 Tc 0.5000 0.0000 0.0000  0.96


2.
Compound: SnPbSe2
Source: Alexandria via LeMat-Bulk
Functional: SCAN
Structure: single point on PBEsol structure

Calculated values
Uncorrected energy   -2.8239 Ry/atom
Fermi-level density of states   0.00 states/eV per atom

a = 4.2545 Å, b = 4.2545 Å, c = 7.3727 Å
α = 73.23°, β = 73.23°, γ = 60.00°
Positions (direct):
1 Sn 0.5000 0.5000 0.5000
2 Se 0.7528 0.7528 0.7417
3 Pb 0.0000 0.0000 0.0000
4 Se 0.2472 0.2472 0.2583


3.
Compound: CuIrF2
Source: Alexandria via LeMat-Bulk
Functional: SCAN
Structure: single point on PBEsol structure

Calculated values
Uncorrected energy   -1.7059 Ry/atom
Fermi-level density of states   0.52 states/eV per atom

a = 4.0193 Å, b = 4.0193 Å, c = 4.0193 Å
α = 60.00°, β = 60.00°, γ = 60.00°
Each line ends with the local moment (μB).
Positions (direct):
1 Cu 0.0000 0.0000 0.0000  0.05
2 Ir 0.5000 0.5000 0.5000  2.19
3 F 0.2500 0.2500 0.2500  0.14
4 F 0.7500 0.7500 0.7500  0.14


- Look up the Fermi-level density of states of the third one.
  0.52 states/eV per atom